w) YTaHg2: optimized geometry, PBE.

Cell and atoms, written as CIF:
```
data_YTaHg2
_cell_length_a 5.007
_cell_length_b 5.007
_cell_length_c 5.007
_cell_angle_alpha 60.00
_cell_angle_beta 60.00
_cell_angle_gamma 60.00
_space_group_name_H-M_alt 'P 1'
_space_group_IT_number 1
loop_
_space_group_symop_operation_xyz
'x,y,z'
loop_
_atom_site_label
_atom_site_type_symbol
_atom_site_fract_x
_atom_site_fract_y
_atom_site_fract_z
_atom_site_occupancy
Hg1 Hg 0.750 0.750 0.750 1
Ta1 Ta 0.500 0.500 0.500 1
Y1 Y 0.000 0.000 0.000 1
Hg2 Hg 0.250 0.250 0.250 1
```

- density of states at the Fermi level (states/eV/cell) = 0.442
- symmetry = Fm-3m, No. 225

x) YTaHg2: optimized geometry, PBE.

Cell and atoms, written as CIF:
```
data_YTaHg2
_cell_length_a 10.245
_cell_length_b 10.245
_cell_length_c 10.245
_cell_angle_alpha 18.07
_cell_angle_beta 18.07
_cell_angle_gamma 18.07
_space_group_name_H-M_alt 'P 1'
_space_group_IT_number 1
loop_
_space_group_symop_operation_xyz
'x,y,z'
loop_
_atom_site_label
_atom_site_type_symbol
_atom_site_fract_x
_atom_site_fract_y
_atom_site_fract_z
_atom_site_occupancy
Hg1 Hg 0.504 0.504 0.504 1
Y1 Y 0.750 0.750 0.750 1
Hg2 Hg 0.996 0.996 0.996 1
Ta1 Ta 0.250 0.250 0.250 1
```

- density of states at the Fermi level (states/eV/cell) = 2.223
- symmetry = R-3m, No. 166

y) YTaHg2: optimized geometry, PBE.

Cell and atoms, written as CIF:
```
data_YTaHg2
_cell_length_a 5.751
_cell_length_b 5.751
_cell_length_c 5.751
_cell_angle_alpha 136.30
_cell_angle_beta 136.30
_cell_angle_gamma 63.51
_space_group_name_H-M_alt 'P 1'
_space_group_IT_number 1
loop_
_space_group_symop_operation_xyz
'x,y,z'
loop_
_atom_site_label
_atom_site_type_symbol
_atom_site_fract_x
_atom_site_fract_y
_atom_site_fract_z
_atom_site_occupancy
Ta1 Ta 0.500 0.500 0.000 1
Hg1 Hg 0.000 0.000 0.000 1
Y1 Y 0.750 0.250 0.500 1
Hg2 Hg 0.250 0.750 0.500 1
```

- density of states at the Fermi level (states/eV/cell) = 3.997
- symmetry = I-4m2, No. 119

Top of the stability list: w), leading by 56 meV/atom.